This record from the Alexandria database describes crystalline Ca2CrPbCl8 at its relaxed geometry. The functional is PBE.

Output
spin magnetization: 4.00 μB per cell
formation energy without anion corrections: -1.69 eV/atom

abc: 6.326 8.206 6.619
angles: 90.00 92.12 90.00
Space group P2/m (No. 10)
Asymmetric unit:
1 Ca 0.000 0.236 0.000
2 Cr 0.500 0.000 0.500
3 Pb 0.500 0.500 0.500
4 Cl 0.210 0.500 0.836
5 Cl 0.228 0.000 0.830
6 Cl 0.284 0.212 0.340